FeGeIr2 PBE-GGA optimized geometry; ΔH_f (0 K) = -0.182 eV/f.u.; symmetry = P4/mmm
1.0
4.000 0.000 0.000
0.000 4.000 0.000
0.000 0.000 3.519
Fe Ge Ir
1 1 2
direct
0.000 0.000 0.000
0.500 0.500 0.000
0.000 0.500 0.500
0.500 0.000 0.500



Fe2Ge2Ir PBE-GGA optimized geometry; ΔH_f (0 K) = 0.196 eV/f.u.; symmetry = P4/mbm; E above lowest polymorph = 0.0 kJ/mol of atoms
1.0
6.776 0.000 0.000
0.000 6.776 0.000
0.000 0.000 2.944
Fe Ge Ir
4 4 2
direct
0.137 0.363 0.000
0.363 0.863 0.000
0.637 0.137 0.000
0.863 0.637 0.000
0.157 0.657 0.500
0.343 0.157 0.500
0.657 0.843 0.500
0.843 0.343 0.500
0.000 0.000 0.500
0.500 0.500 0.500



Fe3Ge6Ir PBE-GGA optimized geometry; ΔH_f (0 K) = -0.069 eV/f.u.; symmetry = P2_1/c
1.0
6.119 0.000 0.000
0.000 6.147 0.000
-3.495 0.000 8.023
Fe Ge Ir
6 12 2
direct
0.000 0.000 0.000
0.000 0.500 0.500
0.216 0.148 0.729
0.216 0.352 0.229
0.784 0.648 0.771
0.784 0.852 0.271
0.081 0.145 0.422
0.081 0.355 0.922
0.232 0.685 0.389
0.232 0.815 0.889
0.405 0.018 0.196
0.405 0.482 0.696
0.595 0.518 0.304
0.595 0.982 0.804
0.768 0.185 0.111
0.768 0.315 0.611
0.919 0.645 0.078
0.919 0.855 0.578
0.500 0.000 0.500
0.500 0.500 0.000



FeGe4Ir2 PBE-GGA optimized geometry; ΔH_f (0 K) = -1.376 eV/f.u.; symmetry = C2/m
1.0
12.540 0.000 0.000
0.000 3.146 0.000
-2.835 0.000 5.845
Fe Ge Ir
2 8 4
direct
0.000 0.000 0.000
0.500 0.500 0.000
0.090 0.500 0.298
0.146 0.000 0.862
0.354 0.500 0.138
0.410 0.000 0.702
0.590 0.000 0.298
0.646 0.500 0.862
0.854 0.000 0.138
0.910 0.500 0.702
0.239 0.500 0.693
0.261 0.000 0.307
0.739 0.000 0.693
0.761 0.500 0.307



FeGeIr PBE-GGA optimized geometry; ΔH_f (0 K) = -0.316 eV/f.u.; symmetry = P-1
1.0
2.923 0.000 0.000
-1.456 4.380 0.000
-0.002 -1.089 6.711
Fe Ge Ir
2 2 2
direct
0.133 0.265 0.451
0.867 0.735 0.549
0.336 0.674 0.856
0.664 0.326 0.144
0.399 0.799 0.237
0.601 0.201 0.763



Fe6GeIr PBE-GGA optimized geometry; ΔH_f (0 K) = -0.427 eV/f.u.; symmetry = C2/m
1.0
7.139 0.000 0.000
0.000 4.117 0.000
-2.394 0.000 6.723
Fe Ge Ir
12 2 2
direct
0.124 0.000 0.373
0.126 0.500 0.877
0.249 0.500 0.248
0.251 0.000 0.752
0.374 0.000 0.123
0.376 0.500 0.627
0.624 0.500 0.373
0.626 0.000 0.877
0.749 0.000 0.248
0.751 0.500 0.752
0.874 0.500 0.123
0.876 0.000 0.627
0.000 0.000 0.000
0.500 0.500 0.000
0.000 0.500 0.500
0.500 0.000 0.500



Fe5GeIr6 PBE-GGA optimized geometry; ΔH_f (0 K) = -0.489 eV/f.u.; symmetry = Immm
1.0
-1.953 3.547 5.857
1.953 -3.547 5.857
1.953 3.547 -5.857
Fe Ge Ir
5 1 6
direct
0.000 0.000 0.000
0.158 0.658 0.500
0.320 0.320 0.000
0.680 0.680 0.000
0.842 0.342 0.500
0.500 0.000 0.500
0.087 0.832 0.255
0.261 0.500 0.761
0.423 0.168 0.255
0.577 0.832 0.745
0.739 0.500 0.239
0.913 0.168 0.745



FeGe6Ir3 PBE-GGA optimized geometry; ΔH_f (0 K) = -1.559 eV/f.u.; symmetry = P2_1/c
1.0
6.546 0.000 0.000
0.000 6.135 0.000
-6.172 0.000 8.164
Fe Ge Ir
2 12 6
direct
0.000 0.000 0.000
0.000 0.500 0.500
0.072 0.026 0.245
0.072 0.474 0.745
0.205 0.158 0.563
0.205 0.342 0.063
0.399 0.636 0.563
0.399 0.864 0.063
0.601 0.136 0.937
0.601 0.364 0.437
0.795 0.658 0.937
0.795 0.842 0.437
0.928 0.526 0.255
0.928 0.974 0.755
0.267 0.656 0.244
0.267 0.844 0.744
0.500 0.000 0.500
0.500 0.500 0.000
0.733 0.156 0.256
0.733 0.344 0.756